(1)
7
Lattice="-3.053 4.472 0.339 -0.786 -0.938 5.285 8.383 2.516 -1.090" Properties=species:S:1:pos:R:3 comment="GGA-PBE Pr2SmTe2As2, relaxed" sg="I4/mmm (139)" e_tot_ev_per_atom=-5.255 raw_formation_energy_ev_per_atom=-0.99 pbc="T T T"
Te 2.500 1.657 0.666
Pr 5.004 3.316 1.333
Pr -0.460 2.734 3.201
Te 2.043 4.393 3.868
As -0.393 -0.469 2.643
Sm 0.000 0.000 0.000
As -1.527 2.236 0.170

=====

(2)
6
Lattice="4.095 -0.124 -1.057 -0.482 5.422 -2.502 -0.303 0.026 7.289" Properties=species:S:1:pos:R:3 comment="GGA-PBE Y3PbSe2, relaxed" sg="Immm (71)" e_tot_ev_per_atom=-6.382 e_above_lowest_polymorph_ev_per_atom=0.004 raw_formation_energy_ev_per_atom=-1.37 pbc="T T T"
Y 2.787 4.394 1.813
Se 0.256 3.593 0.564
Pb 2.048 -0.062 -0.529
Se 3.055 1.732 3.167
Y 0.524 0.931 1.918
Y 1.807 2.649 -1.779

=====

(3)
6
Lattice="0.000 4.561 4.561 4.561 0.000 4.561 4.561 4.561 0.000" Properties=species:S:1:pos:R:3 comment="GGA-PBE La4ScFe, relaxed" sg="F-43m (216)" e_tot_ev_per_atom=-5.040 formation_energy_ev_per_atom=0.711 pbc="T T T"
Fe 0.000 0.000 0.000
Sc 6.841 6.841 6.841
La 3.415 5.707 5.707
La 5.707 5.707 3.415
La 5.707 3.415 5.707
La 3.415 3.415 3.415

=====

(4)
4
Lattice="-0.513 -3.141 0.969 5.954 -0.955 0.057 0.224 1.743 5.768" Properties=species:S:1:pos:R:3 comment="GGA-PBE LaPuPb2, relaxed" sg="P4/mmm (123)" e_tot_ev_per_atom=-6.980 formation_energy_ev_per_atom=-0.311 pbc="T T T"
Pu 2.832 -1.177 3.397
La -0.257 -1.571 0.485
Pb 0.112 0.872 2.884
Pb 2.977 -0.477 0.029

=====

(5)
6
Lattice="-0.067 4.064 -0.069 -3.443 1.961 -0.912 -3.831 -1.931 10.237" Properties=species:S:1:pos:R:3 comment="GGA-PBE PrBrO, relaxed" sg="P-1 (2)" e_tot_ev_per_atom=-6.613 raw_formation_energy_ev_per_atom=-2.81 pbc="T T T"
O -0.840 3.048 0.662
O -6.501 1.047 8.594
Br -2.588 1.024 2.911
Pr -3.265 3.008 0.670
Pr -4.075 1.087 8.586
Br -4.752 3.071 6.346

=====

(6)
4
Lattice="-3.368 -3.388 -3.806 -1.779 -0.366 5.832 -2.028 2.532 -0.460" Properties=species:S:1:pos:R:3 comment="GGA-PBE KZnCd2, relaxed" sg="Cmmm (65)" e_tot_ev_per_atom=-0.866 formation_energy_ev_per_atom=0.184 pbc="T T T"
Zn -1.903 1.083 2.686
Cd 0.000 0.000 0.000
K -2.698 -0.428 -2.133
Cd -2.573 -1.877 1.013